Material: LaTbYCo
Method: DFT, PBE
State: optimized geometry

It has space group Amm2 (No. 38), with a = 3.542 Å, b = 4.857 Å, c = 12.960 Å, α = 90.00°, β = 90.00° and γ = 90.00°. The distinct sites, in fractional coordinates, are La at (0.000, 0.000, 0.000), Tb at (0.500, 0.000, 0.336), Y at (0.500, 0.000, 0.653) and Co at (0.000, 0.000, 0.816).

The value obtained for the density is 6.64 g/cm³. The value obtained for the formation energy is 0.02 eV/f.u. The final energy is -46.22 eV per cell.



Material: LaCoTc2
Method: DFT, PBE
State: optimized geometry

It has space group Immm (No. 71), with a = 2.841 Å, b = 4.548 Å, c = 10.527 Å, α = 90.00°, β = 90.00° and γ = 90.00°. The distinct sites, in fractional coordinates, are La at (0.000, 0.000, 0.000), Co at (0.000, 0.000, 0.500) and Tc at (0.000, 0.500, 0.212).

The value obtained for the density is 9.62 g/cm³. The value obtained for the formation energy is 1.49 eV/f.u. The final energy is -62.54 eV per cell. The calculation puts the distance to the lowest polymorph of the same formula at 5.55 kcal/mol of atoms.



Material: La2CoTc
Method: DFT, PBE
State: optimized geometry

It has space group Pmmm (No. 47), with a = 3.538 Å, b = 5.000 Å, c = 5.010 Å, α = 90.00°, β = 90.00° and γ = 90.00°. The distinct sites, in fractional coordinates, are La at (0.000, 0.000, 0.000), La at (0.000, 0.500, 0.500), Co at (0.500, 0.000, 0.500) and Tc at (0.500, 0.500, 0.000).

The value obtained for the density is 8.15 g/cm³. The value obtained for the formation energy is 0.94 eV/f.u. The final energy is -26.39 eV per cell. The calculation puts the distance to the lowest polymorph of the same formula at 5.38 kcal/mol of atoms.